Entry from Alexandria: crystalline HgSbRu2 at its relaxed geometry (PBE).

Lattice parameters (Å, degrees): 2.990 4.512 10.961 90.00 90.00 90.00
Space group Imm2 (No. 44)
Asymmetric unit:
Hg (0.000, 0.000, 0.000) [2 per cell]
Sb (0.000, 0.500, 0.230) [2 per cell]
Ru (0.000, 0.000, 0.520) [2 per cell]
Ru (0.000, 0.500, 0.812) [2 per cell]

## Properties
* E_form (uncorrected): 415 meV per atom
* calculated volume: 18.49 A^3/atom